## CePm3 (PBE)

Data for a relaxed CePm3 crystal.

**Energy above the most stable polymorph in this dataset**: 0.35 kcal/mol of atoms
**V**: 33.72 Å³ per atom
**Total moment**: 1.201 Bohr magnetons per cell
**DFT formation energy**: 0.38 eV per formula unit

Cell lengths 3.6179, 5.8734, 6.3477 Å; angles 90.00, 90.00, 90.00 degrees
Fractional positions:
Ce 0.0000 0.0000 0.0000
Pm 0.0000 0.5000 0.3225
Pm 0.5000 0.0000 0.5049
Pm 0.5000 0.5000 0.8304